Compound: K3Pa3PdSe8
Source: Alexandria via LeMat-Bulk
Functional: GGA-PBE
Structure: optimized geometry

The raw formation energy is -1.20 eV per atom. The value obtained for the total energy is -5.52 eV/atom.

The structure belongs to space group C2/m (No. 12); the cell edges are 14.001, 8.459 and 9.007 Å and the angles 90.00°, 119.94° and 90.00°. The distinct sites, in fractional coordinates, are K at (0.000, 0.000, 0.000), K at (0.250, 0.250, 0.000), Pa at (0.000, 0.500, 0.500), Pa at (0.250, 0.250, 0.500), Pd at (0.000, 0.000, 0.500), Se at (0.020, 0.267, 0.292), Se at (0.220, 0.000, 0.686) and Se at (0.238, 0.500, 0.712).